1.
First-principles (GGA-PBE) data for a relaxed ZrTaCo crystal, as listed in OQMD.

Properties
Calculated volume ... 101.0 Å³/cell
Energy above the lowest structure with this stoichiometry ... 0.10 eV per formula unit
Space-group type ... Ima2 (46)
E_tot ... -9.361 eV per atom
Energy of formation ... -0.579 eV/f.u.

The structure in extended XYZ format:
```
6
Lattice="-2.597 3.128 3.107 2.597 -3.128 3.107 2.597 3.128 -3.107" Properties=species:S:1:pos:R:3 pbc="T T T"
Zr 1.298 1.014 0.000
Zr 1.298 2.114 3.107
Ta 1.298 -1.044 4.176
Ta 1.298 4.172 1.069
Co 0.000 0.000 2.131
Co 2.597 0.000 2.131
```

---

2.
First-principles (GGA-PBE) data for a relaxed ZrTaCo crystal, as listed in OQMD.

Properties
Calculated volume ... 100.8 Å³/cell
Energy above the lowest structure with this stoichiometry ... 0.00 eV per formula unit
Space-group type ... Fmmm (69)
E_tot ... -9.394 eV per atom
Energy of formation ... -0.677 eV/f.u.

The structure in extended XYZ format:
```
6
Lattice="0.000 4.338 4.474 2.596 0.000 4.474 2.596 4.338 0.000" Properties=species:S:1:pos:R:3 pbc="T T T"
Zr 2.596 1.432 4.474
Zr 2.596 7.243 4.474
Ta 2.596 4.338 3.018
Ta 2.596 4.338 5.930
Co 1.298 2.169 2.237
Co 3.894 6.506 6.712
```

---

3.
First-principles (GGA-PBE) data for a relaxed Tb3Co crystal, as listed in OQMD.

Properties
Calculated volume ... 98.5 Å³/cell
Space-group type ... I4/mmm (139)
E_tot ... -4.942 eV per atom
Energy of formation ... 1.228 eV/f.u.

The structure in extended XYZ format:
```
4
Lattice="-2.197 2.197 5.102 2.197 -2.197 5.102 2.197 2.197 -5.102" Properties=species:S:1:pos:R:3 pbc="T T T"
Tb 0.000 0.000 0.000
Tb 2.197 0.000 2.551
Tb 0.000 2.197 2.551
Co 0.000 0.000 5.102
```

---

4.
First-principles (GGA-PBE) data for a relaxed Tb3Co crystal, as listed in OQMD.

Properties
Calculated volume ... 196.9 Å³/cell
Space-group type ... P6_3/mmc (194)
E_tot ... -5.088 eV per atom
Energy of formation ... 0.643 eV/f.u.

The structure in extended XYZ format:
```
8
Lattice="7.151 0.000 0.000 -3.576 6.193 0.000 0.000 0.000 4.446" Properties=species:S:1:pos:R:3 pbc="T T T"
Tb 0.000 2.307 1.112
Tb -1.578 5.040 1.112
Tb 1.998 1.153 3.335
Tb 1.578 5.040 1.112
Tb 5.154 1.153 3.335
Tb 3.576 3.887 3.335
Co 0.000 4.129 3.335
Co 3.576 2.064 1.112
```

---

5.
First-principles (GGA-PBE) data for a relaxed Tb3Co crystal, as listed in OQMD.

Properties
Calculated volume ... 98.9 Å³/cell
Space-group type ... Fm-3m (225)
E_tot ... -4.913 eV per atom
Energy of formation ... 1.341 eV/f.u.

The structure in extended XYZ format:
```
4
Lattice="0.000 3.670 3.670 3.670 0.000 3.670 3.670 3.670 0.000" Properties=species:S:1:pos:R:3 pbc="T T T"
Tb 0.000 0.000 0.000
Tb 1.835 1.835 1.835
Tb 5.505 5.505 5.505
Co 3.670 3.670 3.670
```

---

6.
First-principles (GGA-PBE) data for a relaxed Tb3Co crystal, as listed in OQMD.

Properties
Calculated volume ... 410.2 Å³/cell
Space-group type ... Pnma (62)
E_tot ... -5.399 eV per atom
Energy of formation ... -0.603 eV/f.u.

The structure in extended XYZ format:
```
16
Lattice="6.943 0.000 0.000 0.000 9.462 0.000 0.000 0.000 6.243" Properties=species:S:1:pos:R:3 pbc="T T T"
Tb 0.313 2.366 0.896
Tb 1.214 0.643 4.222
Tb 1.214 4.088 4.222
Tb 2.257 5.374 1.101
Tb 2.257 8.819 1.101
Tb 3.159 7.097 4.018
Tb 3.785 2.366 2.225
Tb 4.686 0.643 5.142
Tb 4.686 4.088 5.142
Tb 5.729 5.374 2.021
Tb 5.729 8.819 2.021
Tb 6.630 7.097 5.346
Co 0.776 7.097 2.813
Co 2.696 2.366 5.934
Co 4.248 7.097 0.309
Co 6.167 2.366 3.430
```

---

7.
First-principles (GGA-PBE) data for a relaxed Tb3Co crystal, as listed in OQMD.

Properties
Calculated volume ... 97.9 Å³/cell
Space-group type ... Pm-3m (221)
E_tot ... -4.969 eV per atom
Energy of formation ... 1.117 eV/f.u.

The structure in extended XYZ format:
```
4
Lattice="4.608 0.000 0.000 0.000 4.608 0.000 0.000 0.000 4.608" Properties=species:S:1:pos:R:3 pbc="T T T"
Tb 0.000 0.000 2.304
Tb 0.000 2.304 0.000
Tb 2.304 0.000 0.000
Co 2.304 2.304 2.304
```

---

8.
First-principles (GGA-PBE) data for a relaxed TbCo5 crystal, as listed in OQMD.

Properties
Calculated volume ... 81.9 Å³/cell
Space-group type ... P6/mmm (191)
E_tot ... -6.677 eV per atom
Energy of formation ... 0.099 eV/f.u.

The structure in extended XYZ format:
```
6
Lattice="4.902 0.000 0.000 -2.451 4.245 0.000 0.000 0.000 3.937" Properties=species:S:1:pos:R:3 pbc="T T T"
Tb 0.000 0.000 0.000
Co -1.225 2.122 1.968
Co 0.000 2.830 0.000
Co 2.451 0.000 1.968
Co 1.225 2.122 1.968
Co 2.451 1.415 0.000
```

---

9.
First-principles (GGA-PBE) data for a relaxed Tb5Co2 crystal, as listed in OQMD.

Properties
Calculated volume ... 346.4 Å³/cell
Space-group type ... C2/c (15)
E_tot ... -5.503 eV per atom
Energy of formation ... -1.158 eV/f.u.

The structure in extended XYZ format:
```
14
Lattice="8.011 -3.142 0.000 8.011 3.142 0.000 -0.809 0.000 6.880" Properties=species:S:1:pos:R:3 pbc="T T T"
Tb 7.404 2.708 5.160
Tb 3.190 0.430 2.173
Tb 2.785 -0.430 5.613
Tb 6.418 0.670 0.596
Tb 9.200 0.670 2.844
Tb 6.013 -0.670 4.036
Tb 8.795 -0.670 6.284
Tb 12.428 0.430 1.267
Tb 12.023 -0.430 4.707
Tb 7.809 -2.708 1.720
Co 5.883 1.817 2.940
Co 9.734 1.817 0.500
Co 5.479 -1.817 6.380
Co 9.330 -1.817 3.940
```

---

10.
First-principles (GGA-PBE) data for a relaxed Tb7Co2Te2 crystal, as listed in OQMD.

Properties
Calculated volume ... 289.4 Å³/cell
Space-group type ... Imm2 (44)
E_tot ... -5.407 eV per atom

The structure in extended XYZ format:
```
11
Lattice="-1.925 7.894 4.761 1.925 -7.894 4.761 1.925 7.894 -4.761" Properties=species:S:1:pos:R:3 pbc="T T T"
Tb 0.000 0.000 0.000
Tb 1.925 2.913 -1.158
Tb 1.925 -2.355 2.197
Tb 1.925 2.355 2.197
Tb 1.925 5.784 0.769
Tb 0.000 4.980 3.603
Tb 0.000 2.109 5.530
Co 0.000 3.748 0.650
Co 0.000 12.039 0.650
Te 0.000 0.000 3.184
Te 0.000 7.894 2.230
```

---

11.
First-principles (GGA-PBE) data for a relaxed Tb2Tl8Co crystal, as listed in OQMD.

Properties
Calculated volume ... 283.2 Å³/cell
Space-group type ... P4/mmm (123)
E_tot ... -3.284 eV per atom

The structure in extended XYZ format:
```
11
Lattice="4.738 0.000 0.000 0.000 4.738 0.000 0.000 0.000 12.618" Properties=species:S:1:pos:R:3 pbc="T T T"
Tb 0.000 0.000 2.492
Tb 0.000 0.000 10.126
Tl 0.000 2.369 0.000
Tl 0.000 2.369 4.798
Tl 0.000 2.369 7.820
Tl 2.369 0.000 0.000
Tl 2.369 0.000 4.798
Tl 2.369 0.000 7.820
Tl 2.369 2.369 2.387
Tl 2.369 2.369 10.231
Co 0.000 0.000 6.309
```

---

12.
First-principles (GGA-PBE) data for a relaxed Tb6TlCo2 crystal, as listed in OQMD.

Properties
Calculated volume ... 460.4 Å³/cell
Space-group type ... Immm (71)
E_tot ... -5.155 eV per atom

The structure in extended XYZ format:
```
18
Lattice="-4.733 4.853 5.012 4.733 -4.853 5.012 4.733 4.853 -5.012" Properties=species:S:1:pos:R:3 pbc="T T T"
Tb 4.733 2.796 -2.712
Tb 2.737 1.814 0.000
Tb 6.728 1.814 0.000
Tb 1.852 4.853 -1.850
Tb 2.880 0.000 3.162
Tb 0.000 2.056 2.300
Tb 4.733 2.796 2.712
Tb 1.852 4.853 1.850
Tb 2.880 0.000 6.862
Tb -1.995 3.038 5.012
Tb 1.995 3.038 5.012
Tb 0.000 2.056 7.724
Tl 0.000 0.000 0.000
Tl 0.000 0.000 5.012
Co 4.733 0.000 1.116
Co 0.000 3.682 0.000
Co 0.000 6.023 0.000
Co 0.000 4.853 3.897
```

---

13.
First-principles (GGA-PBE) data for a relaxed TbTmCo4 crystal, as listed in OQMD.

Properties
Calculated volume ... 89.8 Å³/cell
Space-group type ... F-43m (216)
E_tot ... -6.474 eV per atom
Energy of formation ... -1.312 eV/f.u.

The structure in extended XYZ format:
```
6
Lattice="0.000 3.554 3.554 3.554 0.000 3.554 3.554 3.554 0.000" Properties=species:S:1:pos:R:3 pbc="T T T"
Tb 0.000 0.000 0.000
Tm 5.331 5.331 5.331
Co 2.667 2.667 2.667
Co 4.440 4.440 2.667
Co 4.440 2.667 4.440
Co 2.667 4.440 4.440
```

---

14.
First-principles (GGA-PBE) data for a relaxed TbTm2Co9 crystal, as listed in OQMD.

Properties
Calculated volume ... 169.5 Å³/cell
Space-group type ... R-3m (166)
E_tot ... -6.665 eV per atom
Energy of formation ... -2.447 eV/f.u.

The structure in extended XYZ format:
```
12
Lattice="2.471 1.427 8.014 -2.471 1.427 8.014 0.000 -2.853 8.014" Properties=species:S:1:pos:R:3 pbc="T T T"
Tb 0.000 0.000 0.000
Tm 0.000 0.000 3.369
Tm 0.000 0.000 20.674
Co -1.251 -0.722 9.990
Co 0.000 0.000 8.058
Co 0.000 -1.445 14.052
Co -1.251 0.722 14.052
Co 0.000 0.000 12.021
Co 1.251 -0.722 9.990
Co 0.000 1.445 9.990
Co 0.000 0.000 15.984
Co 1.251 0.722 14.052
```

---

15.
First-principles (GGA-PBE) data for a relaxed TbTmCo crystal, as listed in OQMD.

Properties
Calculated volume ... 70.6 Å³/cell
Space-group type ... F-43m (216)
E_tot ... -4.617 eV per atom
Energy of formation ... 2.361 eV/f.u.

The structure in extended XYZ format:
```
3
Lattice="0.000 3.281 3.281 3.281 0.000 3.281 3.281 3.281 0.000" Properties=species:S:1:pos:R:3 pbc="T T T"
Tb 0.000 0.000 0.000
Tm 4.921 4.921 4.921
Co 3.281 3.281 3.281
```

---

16.
First-principles (GGA-PBE) data for a relaxed TbUCo crystal, as listed in OQMD.

Properties
Calculated volume ... 68.8 Å³/cell
Energy above the lowest structure with this stoichiometry ... 0.00 eV per formula unit
Space-group type ... F-43m (216)
E_tot ... -7.205 eV per atom
Energy of formation ... 1.416 eV/f.u.

The structure in extended XYZ format:
```
3
Lattice="0.000 3.252 3.252 3.252 0.000 3.252 3.252 3.252 0.000" Properties=species:S:1:pos:R:3 pbc="T T T"
Tb 0.000 0.000 0.000
U 3.252 3.252 3.252
Co 1.626 1.626 1.626
```

---

17.
First-principles (GGA-PBE) data for a relaxed TbYCo crystal, as listed in OQMD.

Properties
Calculated volume ... 157.7 Å³/cell
Space-group type ... P4_2/mmc (131)
E_tot ... -6.015 eV per atom
Energy of formation ... 0.156 eV/f.u.

The structure in extended XYZ format:
```
6
Lattice="4.788 0.000 0.000 0.000 4.788 0.000 0.000 0.000 6.879" Properties=species:S:1:pos:R:3 pbc="T T T"
Tb 0.000 0.000 0.000
Tb 0.000 0.000 3.439
Y 2.394 2.394 1.720
Y 2.394 2.394 5.159
Co 0.000 2.394 0.000
Co 2.394 0.000 3.439
```

---

18.
First-principles (GGA-PBE) data for a relaxed TbYCo4 crystal, as listed in OQMD.

Properties
Calculated volume ... 91.5 Å³/cell
Space-group type ... F-43m (216)
E_tot ... -6.764 eV per atom
Energy of formation ... -1.066 eV/f.u.

The structure in extended XYZ format:
```
6
Lattice="0.000 3.577 3.577 3.577 0.000 3.577 3.577 3.577 0.000" Properties=species:S:1:pos:R:3 pbc="T T T"
Tb 0.000 0.000 0.000
Y 1.788 1.788 1.788
Co 4.472 2.682 2.682
Co 2.682 4.472 2.682
Co 2.682 2.682 4.472
Co 4.472 4.472 4.472
```

---

19.
First-principles (GGA-PBE) data for a relaxed TbZnCo crystal, as listed in OQMD.

Properties
Calculated volume ... 59.5 Å³/cell
Space-group type ... F-43m (216)
E_tot ... -4.107 eV per atom
Energy of formation ... 0.680 eV/f.u.

The structure in extended XYZ format:
```
3
Lattice="0.000 3.098 3.098 3.098 0.000 3.098 3.098 3.098 0.000" Properties=species:S:1:pos:R:3 pbc="T T T"
Tb 0.000 0.000 0.000
Zn 4.647 4.647 4.647
Co 3.098 3.098 3.098
```

---

20.
First-principles (GGA-PBE) data for a relaxed Co2Tc3 crystal, as listed in OQMD.

Properties
Calculated volume ... 133.7 Å³/cell
Space-group type ... R-3c (167)
E_tot ... -8.565 eV per atom
Energy of formation ... 2.470 eV/f.u.

The structure in extended XYZ format:
```
10
Lattice="3.074 1.775 4.085 -3.074 1.775 4.085 0.000 -3.550 4.085" Properties=species:S:1:pos:R:3 pbc="T T T"
Co 0.000 0.000 1.112
Co 0.000 0.000 5.017
Co 0.000 0.000 7.240
Co 0.000 0.000 11.145
Tc -2.288 -0.414 5.107
Tc -0.786 -2.189 7.150
Tc 1.503 -1.775 5.107
Tc -1.503 1.775 7.150
Tc 0.786 2.189 5.107
Tc 2.288 0.414 7.150
```